Model 1:
# PBE Ti3InW, optimized geometry
data_Ti3InW
_cell_length_a 4.840
_cell_length_b 4.840
_cell_length_c 4.840
_cell_angle_alpha 90.00
_cell_angle_beta 90.00
_cell_angle_gamma 90.00
_symmetry_space_group_name_H-M 'P m -3 m'
_symmetry_Int_Tables_number 221
_symmetry_space_group_name_Hall '-P 4 2 3'
loop_
_atom_site_label
_atom_site_type_symbol
_atom_site_fract_x
_atom_site_fract_y
_atom_site_fract_z
_atom_site_occupancy
Ti1 Ti 0.000 0.000 0.500 1
In1 In 0.000 0.000 0.000 1
W1 W 0.500 0.500 0.500 1
# calculated density: 6.48 g/cm3


Model 2:
# PBE Ti3InW, optimized geometry
data_Ti3InW
_cell_length_a 4.800
_cell_length_b 4.800
_cell_length_c 4.800
_cell_angle_alpha 90.00
_cell_angle_beta 90.00
_cell_angle_gamma 90.00
_symmetry_space_group_name_H-M 'P m -3 m'
_symmetry_Int_Tables_number 221
_symmetry_space_group_name_Hall '-P 4 2 3'
loop_
_atom_site_label
_atom_site_type_symbol
_atom_site_fract_x
_atom_site_fract_y
_atom_site_fract_z
_atom_site_occupancy
Ti1 Ti 0.000 0.000 0.500 1
In1 In 0.500 0.500 0.500 1
W1 W 0.000 0.000 0.000 1
# calculated density: 6.64 g/cm3


On energetic grounds, model 2 is preferred over the next structure by 101.2 kJ/mol of atoms.